[1]
First-principles (PBE-GGA) data for a relaxed structure of LuScCoGe, as listed in Alexandria.

Output
The density of states at the Fermi level comes out at 1.79 states/eV/f.u. Its energy of formation is -0.46 eV/atom. As for the crystal system: cubic. The value obtained for the uncorrected energy is -6.108 eV per atom.

CIF file:
```
data_LuScCoGe
_cell_length_a 6.6319
_cell_length_b 6.6319
_cell_length_c 6.6319
_cell_angle_alpha 90.00
_cell_angle_beta 90.00
_cell_angle_gamma 90.00
_space_group_name_H-M_alt 'F -4 3 m'
_space_group_IT_number 216
_space_group_name_Hall 'F -4 2 3'
loop_
_atom_site_label
_atom_site_fract_x
_atom_site_fract_y
_atom_site_fract_z
Lu1 0.0000 0.0000 0.0000
Sc1 0.0000 0.0000 0.5000
Co1 0.2500 0.2500 0.2500
Ge1 0.2500 0.2500 0.7500
```

[2]
First-principles (PBE-GGA) data for a relaxed structure of Ta2AgAu, as listed in Alexandria.

Output
The density of states at the Fermi level comes out at 1.92 states/eV/f.u. Its energy of formation is 0.17 eV/atom. The value obtained for the energy above the most stable polymorph in this dataset is 146 meV/atom. As for the crystal system: orthorhombic. The value obtained for the uncorrected energy is -7.293 eV per atom.

CIF file:
```
data_Ta2AgAu
_cell_length_a 4.5536
_cell_length_b 2.7338
_cell_length_c 11.4372
_cell_angle_alpha 90.00
_cell_angle_beta 90.00
_cell_angle_gamma 90.00
_space_group_name_H-M_alt 'A m m 2'
_space_group_IT_number 38
_space_group_name_Hall 'A 2 -2'
loop_
_atom_site_label
_atom_site_fract_x
_atom_site_fract_y
_atom_site_fract_z
Ta1 0.0000 0.0000 0.0000
Ta2 0.5000 0.0000 0.3591
Ag1 0.5000 0.0000 0.6126
Au1 0.0000 0.0000 0.7460
```

Question: What is the energy of formation in the second record?
Answer: 0.17 eV/atom

Question: Among the records above, which one has the highest energy of formation?
Answer: Ta2AgAu

Question: The highest energy of formation belongs to which entry?
Answer: Ta2AgAu

Question: Look up the energy of formation of the first one.
Answer: -0.46 eV/atom